[1]
# PBE Nd2YScSe4, optimized geometry
# VASP energy, eV per atom: -6.28
# Energy relative to the elements, uncorrected, meV/atom: -1747.5
data_Nd2YScSe4
_space_group_name_H-M_alt 'P 1 2/m 1'
_space_group_IT_number 10
_cell_length_a 7.047
_cell_length_b 4.045
_cell_length_c 7.271
_cell_angle_alpha 90.00
_cell_angle_beta 108.69
_cell_angle_gamma 90.00
loop_
_space_group_symop_operation_xyz
'x,y,z'
'-x,-y,-z'
'-x,y,-z'
'x,-y,z'
loop_
_atom_site_label
_atom_site_type_symbol
_atom_site_fract_x
_atom_site_fract_y
_atom_site_fract_z
Nd1 Nd 0.000 0.000 0.000
Nd2 Nd 0.500 0.500 0.000
Y1 Y 0.000 0.500 0.500
Sc1 Sc 0.500 0.000 0.500
Se1 Se 0.251 0.000 0.731
Se2 Se 0.266 0.500 0.274

[2]
# PBE Nd2YScSe6, optimized geometry
# VASP energy, eV per atom: -6.16
# Energy relative to the elements, uncorrected, meV/atom: -1836.7
data_Nd2YScSe6
_space_group_name_H-M_alt 'P 1 21/c 1'
_space_group_IT_number 14
_cell_length_a 6.870
_cell_length_b 7.606
_cell_length_c 12.247
_cell_angle_alpha 90.00
_cell_angle_beta 123.08
_cell_angle_gamma 90.00
loop_
_space_group_symop_operation_xyz
'x,y,z'
'-x,-y,-z'
'-x,y+1/2,-z+1/2'
'x,-y+1/2,z+1/2'
loop_
_atom_site_label
_atom_site_type_symbol
_atom_site_fract_x
_atom_site_fract_y
_atom_site_fract_z
Nd1 Nd 0.203 0.106 0.247
Y1 Y 0.500 0.000 0.000
Sc1 Sc 0.000 0.000 0.500
Se1 Se 0.095 0.188 0.930
Se2 Se 0.251 0.678 0.930
Se3 Se 0.388 0.045 0.742